# 1
Here is a relaxed structure of CaTb2Ho2 from Alexandria. Energies are from GGA-PBE.

Unit cell a=5.5047 b=17.2680 c=3.5320 alpha=90.00 beta=90.00 gamma=90.00
Last column: nearest neighbours and their distance in Å.
Space group Cmmm (No. 65)
Inequivalent atoms, fractional coordinates:
Ca  0.0000  0.0000  0.0000 x2  2 Ho 3.48, 2 Ca 3.53, 8 Tb 3.87
Tb  0.0000  0.3797  0.5000 x4  2 Tb 3.53, 6 Ho 3.55-3.56, 4 Ca 3.87
Ho  0.0000  0.2013  0.0000 x4  4 Ho 3.22-3.53, 1 Ca 3.48, 6 Tb 3.55-3.56

- formation enthalpy at 0 K (eV/atom) = 0.063

***

# 2
Here is a relaxed structure of CaTb7Ho3 from Alexandria. Energies are from GGA-PBE.

Unit cell a=7.0906 b=7.0906 c=8.6275 alpha=90.00 beta=90.00 gamma=120.00
Last column: nearest neighbours and their distance in Å.
Space group P3m1 (No. 156)
Inequivalent atoms, fractional coordinates:
Ca  0.0000  0.0000  0.0000 x1  9 Tb 3.55-3.56, 3 Ho 3.62
Tb  0.0051  0.5025  0.0016 x3  7 Tb 3.46-3.60, 2 Ca 3.55, 2 Ho 3.56
Tb  0.3333  0.6667  0.6752 x1  9 Tb 3.46-3.55, 3 Ho 3.50
Tb  0.3365  0.1683  0.6639 x3  2 Ho 3.46, 8 Tb 3.51-3.58, 1 Ca 3.56
Ho  0.1697  0.3394  0.3424 x3  5 Tb 3.46-3.56, 4 Ho 3.48-3.61, 1 Ca 3.62

- formation enthalpy at 0 K (eV/atom) = 0.232

***

# 3
Here is a relaxed structure of Ca2TbHo from Alexandria. Energies are from GGA-PBE.

Unit cell a=8.2542 b=8.2542 c=8.2542 alpha=90.00 beta=90.00 gamma=90.00
Last column: nearest neighbours and their distance in Å.
Space group Fm-3m (No. 225)
Inequivalent atoms, fractional coordinates:
Ca  0.2500  0.2500  0.2500 x8  4 Ho 3.57, 4 Tb 3.57
Tb  0.0000  0.0000  0.0000 x4  8 Ca 3.57
Ho  0.0000  0.0000  0.5000 x4  8 Ca 3.57

- offset from the most stable computed form (meV/atom) = 5
- formation enthalpy at 0 K (eV/atom) = 0.189

***

# 4
Here is a relaxed structure of CaTb4Ho2 from Alexandria. Energies are from GGA-PBE.

Unit cell a=3.5693 b=3.5693 c=62.2669 alpha=90.00 beta=90.00 gamma=120.00
Last column: nearest neighbours and their distance in Å.
Space group R-3m (No. 166, hexagonal axes)
Inequivalent atoms, fractional coordinates:
Ca  0.0000  0.0000  0.0000 x3  6 Ca 3.57, 6 Tb 3.83
Tb  0.0000  0.0000  0.1434 x6  3 Ho 3.55, 9 Tb 3.55-3.57
Tb  0.0000  0.0000  0.2816 x6  3 Ho 3.49, 6 Tb 3.57, 3 Ca 3.83
Ho  0.0000  0.0000  0.4303 x6  6 Tb 3.49-3.55, 6 Ho 3.57

- formation enthalpy at 0 K (eV/atom) = 0.044

***

# 5
Here is a relaxed structure of CaTb2Ho6 from Alexandria. Energies are from GGA-PBE.

Unit cell a=6.7364 b=9.1968 c=9.6122 alpha=98.54 beta=95.92 gamma=95.47
Last column: nearest neighbours and their distance in Å.
Space group P-1 (No. 2)
Inequivalent atoms, fractional coordinates:
Ca  0.1290  0.3788  0.2766 x2  10 Ho 3.53-3.69, 2 Tb 3.65
Tb  0.2101  0.9549  0.7246 x2  10 Ho 3.46-3.68, 1 Tb 3.58, 1 Ca 3.65
Tb  0.4678  0.7136  0.2786 x2  10 Ho 3.46-3.64, 1 Tb 3.58, 1 Ca 3.65
Ho  0.0220  0.2623  0.6153 x2  4 Tb 3.46-3.68, 6 Ho 3.53-3.67, 2 Ca 3.58-3.69
Ho  0.0952  0.8467  0.0611 x2  8 Ho 3.49-3.69, 3 Tb 3.50-3.66, 1 Ca 3.68
Ho  0.2480  0.4914  0.9432 x2  8 Ho 3.44-3.69, 2 Tb 3.48-3.64, 2 Ca 3.54-3.65
Ho  0.3171  0.0606  0.3900 x2  6 Ho 3.45-3.69, 5 Tb 3.48-3.62, 1 Ca 3.57
Ho  0.3517  0.6030  0.6121 x2  3 Tb 3.51-3.64, 3 Ca 3.53-3.65, 6 Ho 3.55-3.67
Ho  0.4316  0.1744  0.0525 x2  8 Ho 3.46-3.69, 3 Tb 3.47-3.60, 1 Ca 3.57

- formation enthalpy at 0 K (eV/atom) = 0.045

***

# 6
Here is a relaxed structure of CaTb8Ho6 from Alexandria. Energies are from GGA-PBE.

Unit cell a=9.6054 b=9.6054 c=17.9191 alpha=90.00 beta=90.00 gamma=120.00
Last column: nearest neighbours and their distance in Å.
Space group R-3 (No. 148, hexagonal axes)
Inequivalent atoms, fractional coordinates:
Ca  0.0000  0.0000  0.0000 x3  6 Tb 3.04
Tb  0.0000  0.0000  0.2404 x6  6 Tb 3.34-3.57, 6 Ho 3.71-3.72
Tb  0.0468  0.7676  0.9026 x18  1 Ca 3.04, 2 Tb 3.19-3.34, 1 Ho 3.37
Ho  0.0275  0.7932  0.4106 x18  7 Tb 3.37-3.72, 3 Ho 3.65-3.69

- formation enthalpy at 0 K (eV/atom) = 0.196

***

# 7
Here is a relaxed structure of Ca2TbHo from Alexandria. Energies are from GGA-PBE.

Unit cell a=5.0505 b=5.0505 c=5.5395 alpha=90.00 beta=90.00 gamma=90.00
Last column: nearest neighbours and their distance in Å.
Space group P4/mmm (No. 123)
Inequivalent atoms, fractional coordinates:
Ca  0.0000  0.5000  0.0000 x2  4 Ca 3.57, 4 Ho 3.75, 4 Tb 3.75
Tb  0.0000  0.0000  0.5000 x1  4 Ho 3.57, 8 Ca 3.75
Ho  0.5000  0.5000  0.5000 x1  4 Tb 3.57, 8 Ca 3.75

- offset from the most stable computed form (meV/atom) = 0
- formation enthalpy at 0 K (eV/atom) = 0.184

***

# 8
Here is a relaxed structure of Ca2TbHo from Alexandria. Energies are from GGA-PBE.

Unit cell a=3.5667 b=3.5667 c=39.2801 alpha=90.00 beta=90.00 gamma=120.00
Last column: nearest neighbours and their distance in Å.
Space group R-3m (No. 166, hexagonal axes)
Inequivalent atoms, fractional coordinates:
Ca  0.0000  0.0000  0.0884 x6  1 Tb 3.47, 6 Ca 3.57, 3 Ho 3.70
Tb  0.0000  0.0000  0.0000 x3  2 Ca 3.47, 6 Tb 3.57
Ho  0.0000  0.0000  0.5000 x3  6 Ho 3.57, 6 Ca 3.70

- offset from the most stable computed form (meV/atom) = 78
- formation enthalpy at 0 K (eV/atom) = 0.262

***

# 9
Here is a relaxed structure of CaTb2Ho4 from Alexandria. Energies are from GGA-PBE.

Unit cell a=3.5597 b=3.5597 c=62.1221 alpha=90.00 beta=90.00 gamma=120.00
Last column: nearest neighbours and their distance in Å.
Space group R-3m (No. 166, hexagonal axes)
Inequivalent atoms, fractional coordinates:
Ca  0.0000  0.0000  0.0000 x3  6 Ca 3.56, 6 Ho 3.81
Tb  0.0000  0.0000  0.4305 x6  6 Ho 3.50-3.55, 6 Tb 3.56
Ho  0.0000  0.0000  0.1437 x6  9 Ho 3.52-3.56, 3 Tb 3.55
Ho  0.0000  0.0000  0.2817 x6  3 Tb 3.50, 6 Ho 3.56, 3 Ca 3.81

- formation enthalpy at 0 K (eV/atom) = 0.051

***

# 10
Here is a relaxed structure of CaTb3Ho5 from Alexandria. Energies are from GGA-PBE.

Unit cell a=16.9366 b=9.8034 c=6.9512 alpha=90.00 beta=90.00 gamma=90.00
Last column: nearest neighbours and their distance in Å.
Space group Cmcm (No. 63)
Inequivalent atoms, fractional coordinates:
Ca  0.0000  0.1506  0.2500 x4  5 Ho 3.34-3.50, 4 Tb 3.71
Tb  0.0000  0.5000  0.0000 x4  2 Tb 3.48, 10 Ho 3.50-3.84, 2 Ca 3.84
Tb  0.1725  0.0000  0.0000 x8  2 Tb 3.48, 10 Ho 3.57-3.88, 2 Ca 3.71
Ho  0.0000  0.1902  0.7500 x4  2 Ho 3.23, 3 Ca 3.34-3.50, 2 Tb 3.50
Ho  0.1611  0.3474  0.2500 x8  4 Ho 3.24-3.49, 1 Ca 3.34, 2 Tb 3.56
Ho  0.1743  0.3226  0.7500 x8  5 Ho 3.23-3.49, 4 Tb 3.57-3.61

- formation enthalpy at 0 K (eV/atom) = 0.104

***

# 11
Here is a relaxed structure of CaTb15Ho4 from Alexandria. Energies are from GGA-PBE.

Unit cell a=5.0409 b=5.0409 c=25.2359 alpha=90.00 beta=90.00 gamma=90.00
Last column: nearest neighbours and their distance in Å.
Space group P4/mmm (No. 123)
Inequivalent atoms, fractional coordinates:
Ca  0.0000  0.0000  0.0000 x1  12 Tb 3.56-3.65
Tb  0.0000  0.5000  0.1045 x4  8 Tb 3.51-3.65, 2 Ho 3.52, 2 Ca 3.65
Tb  0.0000  0.5000  0.3019 x4  8 Tb 3.54-3.58, 4 Ho 3.55-3.57
Tb  0.0000  0.5000  0.5000 x2  4 Ho 3.55, 8 Tb 3.56
Tb  0.5000  0.5000  0.0000 x1  4 Ca 3.56, 8 Tb 3.65
Tb  0.5000  0.5000  0.2013 x2  8 Tb 3.51-3.58, 4 Ho 3.56
Tb  0.5000  0.5000  0.4006 x2  8 Tb 3.54-3.56, 4 Ho 3.56
Ho  0.0000  0.0000  0.2016 x2  12 Tb 3.52-3.57
Ho  0.0000  0.0000  0.4009 x2  12 Tb 3.55-3.56

- formation enthalpy at 0 K (eV/atom) = 0.035

***

# 12
Here is a relaxed structure of Ca2Tb5Ho4 from Alexandria. Energies are from GGA-PBE.

Unit cell a=17.2685 b=6.6517 c=6.5806 alpha=90.00 beta=96.85 gamma=90.00
Last column: nearest neighbours and their distance in Å.
Space group C2/m (No. 12)
Inequivalent atoms, fractional coordinates:
Ca  0.2001  0.0000  0.3485 x4  4 Ho 3.42-3.73, 3 Tb 3.71-3.76
Tb  0.0000  0.0000  0.5000 x2  4 Tb 3.34, 2 Ca 3.71, 4 Ho 3.71
Tb  0.0877  0.2576  0.8975 x8  4 Tb 3.22-3.46, 4 Ho 3.38-3.60
Ho  0.0784  0.5000  0.3807 x4  2 Ho 3.29-3.48, 4 Tb 3.59-3.60
Ho  0.2456  0.5000  0.1343 x4  4 Tb 3.38, 4 Ca 3.42-3.73, 3 Ho 3.48-3.78

- formation enthalpy at 0 K (eV/atom) = 0.197